The following is a DFT calculation (PBE-GGA) of a relaxed Pr2PuScP4 crystal.

## Properties
E_form (eV per atom): -1.37
Total DFT energy (no corrections) (eV/atom): -7.8576
M_tot (μB per formula unit): 4.85
Space-group type: No. 10
Crystal system: monoclinic

Lattice parameters (Å, degrees): 4.054 6.968 6.996 109.48 90.00 90.00
Site moments in Bohr magnetons follow the coordinates.
Fractional positions:
Sc  0.500  0.500  0.000  0.03
P  0.500  0.753  0.772  -0.08
P  0.000  0.738  0.226  -0.05
Pu  0.000  0.000  0.000  4.83
P  0.500  0.247  0.228  -0.08
Pr  0.500  0.000  0.500  0.04
P  0.000  0.262  0.774  -0.05
Pr  0.000  0.500  0.500  0.03



The following is a DFT calculation (PBE-GGA) of a relaxed PrPuPSe crystal.

## Properties
Total DFT energy (no corrections) (eV/atom): -8.5716
M_tot (μB per formula unit): 5.46
Space-group type: No. 160
Raw formation energy (eV/atom): -1.57
Crystal system: trigonal

Lattice parameters (Å, degrees): 4.155 4.155 7.221 73.28 73.28 60.00
Site moments in Bohr magnetons follow the coordinates.
Fractional positions:
Se  0.496  0.496  0.513  -0.06
Pu  0.745  0.745  0.765  5.21
P  0.004  0.004  0.988  -0.08
Pr  0.255  0.255  0.235  0.06



The following is a DFT calculation (PBE-GGA) of a relaxed PrSm2PuP4 crystal.

## Properties
E_form (eV per atom): -1.43
Total DFT energy (no corrections) (eV/atom): -7.7079
M_tot (μB per formula unit): 4.88
Space-group type: No. 10
Crystal system: monoclinic

Lattice parameters (Å, degrees): 4.109 7.102 7.097 109.49 90.00 90.00
Site moments in Bohr magnetons follow the coordinates.
Fractional positions:
Pu  0.000  0.000  0.000  4.92
P  0.500  0.240  0.244  -0.08
P  0.500  0.760  0.756  -0.08
Sm  0.000  0.500  0.500  0.02
Sm  0.500  0.000  0.500  0.02
P  0.000  0.758  0.250  -0.05
Pr  0.500  0.500  0.000  0.03
P  0.000  0.242  0.750  -0.05



The following is a DFT calculation (PBE-GGA) of a relaxed Pr2SmPuP4 crystal.

## Properties
E_form (eV per atom): -1.42
Total DFT energy (no corrections) (eV/atom): -7.7046
M_tot (μB per formula unit): 4.87
Space-group type: No. 10
Crystal system: monoclinic

Lattice parameters (Å, degrees): 4.132 7.136 7.142 109.46 90.00 90.00
Site moments in Bohr magnetons follow the coordinates.
Fractional positions:
P  0.000  0.752  0.240  -0.05
Pr  0.000  0.500  0.500  0.02
P  0.500  0.760  0.764  -0.08
P  0.000  0.248  0.760  -0.05
Pu  0.000  0.000  0.000  4.90
Sm  0.500  0.500  0.000  0.02
Pr  0.500  0.000  0.500  0.03
P  0.500  0.240  0.236  -0.08